1.
PrMg2Ga4 (PBE, optimized geometry); E_form = -0.375 eV/atom; total energy = -22.7 eV for the cell shown; mass density = 5.1 g cm⁻³; spin magnetization = 0.00 μB/cell
1.0
-2.098 2.139 8.488
2.098 -2.139 8.488
2.098 2.139 -8.488
Pr Mg Ga
1 2 4
Direct
0.000 0.000 0.000 Pr
0.185 0.685 0.500 Mg
0.815 0.315 0.500 Mg
0.345 0.845 0.500 Ga
0.427 0.427 0.000 Ga
0.573 0.573 0.000 Ga
0.655 0.155 0.500 Ga


2.
Pr5MgGa4 (PBE, optimized geometry); E_form = -0.454 eV/atom; total energy = -42.1 eV for the cell shown; mass density = 6.3 g cm⁻³; spin magnetization = 0.00 μB/cell
1.0
3.725 0.000 0.000
0.000 3.725 0.000
0.000 0.000 19.224
Pr Mg Ga
5 1 4
Direct
0.000 0.000 0.000 Pr
0.000 0.000 0.194 Pr
0.000 0.000 0.387 Pr
0.000 0.000 0.613 Pr
0.000 0.000 0.806 Pr
0.500 0.500 0.500 Mg
0.500 0.500 0.097 Ga
0.500 0.500 0.295 Ga
0.500 0.500 0.705 Ga
0.500 0.500 0.903 Ga


3.
Pr2MgGa6 (PBE, optimized geometry); E_form = -0.319 eV/atom; total energy = -32.2 eV for the cell shown; mass density = 5.8 g cm⁻³; spin magnetization = 0.00 μB/cell
1.0
-2.227 3.411 6.868
2.227 -3.411 6.868
2.227 3.411 -6.868
Pr Mg Ga
2 1 6
Direct
0.117 0.117 0.000 Pr
0.883 0.883 0.000 Pr
0.500 0.000 0.500 Mg
0.114 0.310 0.804 Ga
0.231 0.500 0.731 Ga
0.494 0.690 0.804 Ga
0.506 0.310 0.196 Ga
0.769 0.500 0.269 Ga
0.886 0.690 0.196 Ga


4.
PrMg2Ga6 (PBE, optimized geometry); energy relative to the lowest polymorph listed for this composition = 0.024 eV/f.u.; E_form = -0.259 eV/atom; total energy = -28.5 eV for the cell shown; mass density = 5.5 g cm⁻³; spin magnetization = 0.00 μB/cell
1.0
7.869 0.000 0.000
-3.935 6.815 0.000
0.000 0.000 3.405
Pr Mg Ga
1 2 6
Direct
0.000 0.000 0.000 Pr
0.333 0.667 0.000 Mg
0.667 0.333 0.000 Mg
0.000 0.340 0.500 Ga
0.000 0.660 0.500 Ga
0.340 0.000 0.500 Ga
0.340 0.340 0.500 Ga
0.660 0.000 0.500 Ga
0.660 0.660 0.500 Ga


5.
Pr2MgGa12 (PBE, optimized geometry); E_form = -0.311 eV/atom; total energy = -104.3 eV for the cell shown; mass density = 6.1 g cm⁻³; spin magnetization = 0.00 μB/cell
1.0
5.949 0.000 0.000
0.000 5.949 0.000
0.000 0.000 17.548
Pr Mg Ga
4 2 24
Direct
0.250 0.750 0.223 Pr
0.250 0.750 0.777 Pr
0.750 0.250 0.223 Pr
0.750 0.250 0.777 Pr
0.250 0.750 0.500 Mg
0.750 0.250 0.500 Mg
0.001 0.501 0.386 Ga
0.001 0.999 0.614 Ga
0.065 0.565 0.934 Ga
0.065 0.935 0.066 Ga
0.250 0.250 0.150 Ga
0.250 0.250 0.293 Ga
0.250 0.250 0.707 Ga
0.250 0.250 0.850 Ga
0.435 0.565 0.066 Ga
0.435 0.935 0.934 Ga
0.499 0.501 0.614 Ga
0.499 0.999 0.386 Ga
0.501 0.001 0.614 Ga
0.501 0.499 0.386 Ga
0.565 0.065 0.066 Ga
0.565 0.435 0.934 Ga
0.750 0.750 0.150 Ga
0.750 0.750 0.293 Ga
0.750 0.750 0.707 Ga
0.750 0.750 0.850 Ga
0.935 0.065 0.934 Ga
0.935 0.435 0.066 Ga
0.999 0.001 0.386 Ga
0.999 0.499 0.614 Ga


6.
PrMgGa6 (PBE, optimized geometry); E_form = -0.259 eV/atom; total energy = -26.6 eV for the cell shown; mass density = 6.0 g cm⁻³; spin magnetization = 0.00 μB/cell
1.0
4.417 0.000 0.000
0.000 6.609 0.000
0.000 0.000 5.560
Pr Mg Ga
1 1 6
Direct
0.000 0.000 0.000 Pr
0.500 0.500 0.288 Mg
0.000 0.268 0.485 Ga
0.000 0.500 0.961 Ga
0.000 0.732 0.485 Ga
0.500 0.000 0.432 Ga
0.500 0.289 0.798 Ga
0.500 0.711 0.798 Ga


7.
PrMgGa2 (PBE, optimized geometry); E_form = -0.434 eV/atom; total energy = -14.2 eV for the cell shown; mass density = 5.4 g cm⁻³; spin magnetization = 0.00 μB/cell
1.0
2.258 1.304 5.274
-2.258 1.304 5.274
0.000 -2.608 5.274
Pr Mg Ga
1 1 2
Direct
0.000 0.000 0.000 Pr
0.500 0.500 0.500 Mg
0.220 0.220 0.220 Ga
0.780 0.780 0.780 Ga


8.
PrMgGa2 (PBE, optimized geometry); E_form = -0.510 eV/atom; total energy = -57.9 eV for the cell shown; mass density = 5.5 g cm⁻³; spin magnetization = 0.00 μB/cell
1.0
7.167 0.000 0.000
0.000 4.430 0.000
0.000 0.000 11.629
Pr Mg Ga
4 4 8
Direct
0.142 0.250 0.145 Pr
0.358 0.750 0.645 Pr
0.642 0.250 0.355 Pr
0.858 0.750 0.855 Pr
0.141 0.250 0.444 Mg
0.359 0.750 0.944 Mg
0.641 0.250 0.056 Mg
0.859 0.750 0.556 Mg
0.030 0.250 0.669 Ga
0.170 0.250 0.865 Ga
0.330 0.750 0.365 Ga
0.470 0.750 0.169 Ga
0.530 0.250 0.831 Ga
0.670 0.250 0.635 Ga
0.830 0.750 0.135 Ga
0.970 0.750 0.331 Ga


9.
PrMgGa2 (PBE, optimized geometry); E_form = -0.365 eV/atom; total energy = -13.9 eV for the cell shown; mass density = 5.7 g cm⁻³; spin magnetization = 0.00 μB/cell
1.0
3.529 0.000 0.000
0.000 3.529 0.000
0.000 0.000 7.143
Pr Mg Ga
1 1 2
Direct
0.000 0.000 0.000 Pr
0.000 0.000 0.500 Mg
0.500 0.500 0.292 Ga
0.500 0.500 0.708 Ga


10.
Pr8MgGa6 (PBE, optimized geometry); E_form = -0.333 eV/atom; total energy = -63.0 eV for the cell shown; mass density = 6.0 g cm⁻³; spin magnetization = 0.00 μB/cell
1.0
4.469 2.580 6.328
-4.469 2.580 6.328
0.000 -5.160 6.328
Pr Mg Ga
8 1 6
Direct
0.077 0.708 0.387 Pr
0.165 0.165 0.165 Pr
0.292 0.613 0.923 Pr
0.387 0.077 0.708 Pr
0.613 0.923 0.292 Pr
0.708 0.387 0.077 Pr
0.835 0.835 0.835 Pr
0.923 0.292 0.613 Pr
0.500 0.500 0.500 Mg
0.117 0.447 0.770 Ga
0.230 0.883 0.553 Ga
0.447 0.770 0.117 Ga
0.553 0.230 0.883 Ga
0.770 0.117 0.447 Ga
0.883 0.553 0.230 Ga


11.
Pr3Mg2Ga (PBE, optimized geometry); E_form = -0.260 eV/atom; total energy = -22.1 eV for the cell shown; mass density = 5.3 g cm⁻³; spin magnetization = 0.00 μB/cell
1.0
2.720 -8.212 0.000
2.720 8.212 0.000
0.000 0.000 3.813
Pr Mg Ga
3 2 1
Direct
0.000 0.000 0.000 Pr
0.344 0.656 0.000 Pr
0.656 0.344 0.000 Pr
0.175 0.825 0.500 Mg
0.825 0.175 0.500 Mg
0.500 0.500 0.500 Ga


12.
PrMg2Ga (PBE, optimized geometry); energy relative to the lowest polymorph listed for this composition = 0.154 eV/f.u.; E_form = -0.278 eV/atom; total energy = -12.1 eV for the cell shown; mass density = 4.4 g cm⁻³; spin magnetization = 0.00 μB/cell
1.0
4.474 0.000 0.000
0.000 4.474 0.000
0.000 0.000 4.894
Pr Mg Ga
1 2 1
Direct
0.000 0.000 0.000 Pr
0.000 0.500 0.500 Mg
0.500 0.000 0.500 Mg
0.500 0.500 0.000 Ga